Here is a relaxed Pm2ScMoO8 crystal from the Alexandria database. Energies are from PBE with a Hubbard U.

a = 7.102 Å, b = 7.341 Å, c = 6.773 Å
α = 90.00°, β = 90.00°, γ = 90.00°
Space group Cmmm (No. 65)
Inequivalent atoms, fractional coordinates:
Pm: 0.000 0.000 0.247 x4
Sc: 0.000 0.500 0.000 x2
Mo: 0.000 0.500 0.500 x2
O: 0.000 0.324 0.280 x8
O: 0.214 0.000 0.000 x4
O: 0.229 0.000 0.500 x4

For the raw total energy, the calculation gives -7.76 eV per atom. The total magnetization comes out at 1.98 μB per cell.